# 1
First-principles (PBE-GGA) data for a relaxed structure of Hf3Ga3Au, as listed in Alexandria.

a = 5.8788 Å, b = 5.8788 Å, c = 7.9471 Å
α = 93.21°, β = 93.21°, γ = 103.15°
Closest atoms and distances in Å follow each position.
Element x y z (fractional)
Hf 0.1923 0.8077 0.0000  6 Ga 2.65-2.80
Hf 0.2319 0.7681 0.5000  6 Ga 2.86-2.99, 4 Au 2.87-3.07
Hf 0.3812 0.3812 0.1545  3 Ga 2.82-3.01, 1 Au 2.90, 1 Hf 3.13
Hf 0.6188 0.6188 0.8455  3 Ga 2.82-3.01, 1 Au 2.90, 1 Hf 3.13
Hf 0.7681 0.2319 0.5000  6 Ga 2.86-2.99, 4 Au 2.87-3.07
Hf 0.8077 0.1923 0.0000  6 Ga 2.65-2.80
Ga 0.0246 0.0246 0.2643  1 Au 2.66, 2 Ga 2.68, 5 Hf 2.74-2.86
Ga 0.0976 0.4445 0.7737  3 Hf 2.65-2.86, 1 Ga 2.68, 1 Au 2.69
Ga 0.4445 0.0976 0.7737  3 Hf 2.65-2.86, 1 Ga 2.68, 1 Au 2.69
Ga 0.5555 0.9024 0.2263  3 Hf 2.65-2.86, 1 Ga 2.68, 1 Au 2.69
Ga 0.9024 0.5555 0.2263  3 Hf 2.65-2.86, 1 Ga 2.68, 1 Au 2.69
Ga 0.9754 0.9754 0.7357  1 Au 2.66, 2 Ga 2.68, 5 Hf 2.74-2.86
Au 0.3015 0.3015 0.5054  3 Ga 2.66-2.69, 3 Hf 2.87-2.90, 1 Au 2.91
Au 0.6985 0.6985 0.4946  3 Ga 2.66-2.69, 3 Hf 2.87-2.90, 1 Au 2.91

**Energy relative to the lowest polymorph listed for this composition**: 0.104 eV/atom

# 2
First-principles (PBE-GGA) data for a relaxed structure of HfGa2Au2, as listed in Alexandria.

a = 6.7844 Å, b = 6.7844 Å, c = 6.7844 Å
α = 146.77°, β = 146.77°, γ = 47.70°
Closest atoms and distances in Å follow each position.
Element x y z (fractional)
Hf 0.0000 0.0000 0.0000  8 Au 3.05
Ga 0.2500 0.7500 0.5000  4 Au 2.63, 4 Ga 2.74
Ga 0.7500 0.2500 0.5000  4 Au 2.63, 4 Ga 2.74
Au 0.3930 0.3930 0.0000  4 Ga 2.63, 1 Au 2.66
Au 0.6070 0.6070 0.0000  4 Ga 2.63, 1 Au 2.66

# 3
First-principles (PBE-GGA) data for a relaxed structure of HfGa2Au, as listed in Alexandria.

a = 4.1876 Å, b = 4.1876 Å, c = 4.0199 Å
α = 90.00°, β = 90.00°, γ = 90.00°
Closest atoms and distances in Å follow each position.
Element x y z (fractional)
Hf 0.0000 0.0000 0.0000  8 Ga 2.90, 4 Au 2.96
Ga 0.0000 0.5000 0.5000  4 Hf 2.90, 4 Au 2.90, 4 Ga 2.96
Ga 0.5000 0.0000 0.5000  4 Hf 2.90, 4 Au 2.90, 4 Ga 2.96
Au 0.5000 0.5000 0.0000  8 Ga 2.90, 4 Hf 2.96

# 4
First-principles (PBE-GGA) data for a relaxed structure of HfGa2Au2, as listed in Alexandria.

a = 4.5266 Å, b = 4.5266 Å, c = 5.5813 Å
α = 101.89°, β = 101.89°, γ = 59.18°
Closest atoms and distances in Å follow each position.
Element x y z (fractional)
Hf 0.0000 0.0000 0.0000  6 Au 2.95-3.04, 6 Ga 2.99-3.01
Ga 0.3752 0.3752 0.2767  4 Au 2.60-2.76, 1 Ga 2.79
Ga 0.6248 0.6248 0.7233  4 Au 2.60-2.76, 1 Ga 2.79
Au 0.2942 0.2942 0.7316  4 Ga 2.60-2.76
Au 0.7058 0.7058 0.2684  4 Ga 2.60-2.76

# 5
First-principles (PBE-GGA) data for a relaxed structure of HfGa2Au, as listed in Alexandria.

a = 3.1735 Å, b = 3.1735 Å, c = 7.0810 Å
α = 90.00°, β = 90.00°, γ = 90.00°
Closest atoms and distances in Å follow each position.
Element x y z (fractional)
Hf 0.0000 0.0000 0.0000  8 Ga 2.92, 4 Hf 3.17
Ga 0.5000 0.5000 0.2629  4 Au 2.80, 4 Hf 2.92
Ga 0.5000 0.5000 0.7371  4 Au 2.80, 4 Hf 2.92
Au 0.0000 0.0000 0.5000  8 Ga 2.80

# 6
First-principles (PBE-GGA) data for a relaxed structure of Hf12Ga3Au5, as listed in Alexandria.

a = 13.7806 Å, b = 13.7806 Å, c = 13.7806 Å
α = 109.47°, β = 109.47°, γ = 109.47°
Closest atoms and distances in Å follow each position.
Element x y z (fractional)
Hf 0.0640 0.2281 0.1373  2 Au 2.68-2.70, 2 Ga 2.78-2.98, 1 Hf 2.95
Hf 0.0640 0.3359 0.9267  2 Au 2.68-2.70, 2 Ga 2.78-2.98, 1 Hf 2.95
Hf 0.0733 0.6373 0.4092  2 Au 2.68-2.70, 2 Ga 2.78-2.98, 1 Hf 2.95
Hf 0.0733 0.9360 0.6641  2 Au 2.68-2.70, 2 Ga 2.78-2.98, 1 Hf 2.95
Hf 0.0908 0.7281 0.6641  2 Au 2.68-2.70, 2 Ga 2.78-2.98, 1 Hf 2.95
Hf 0.0908 0.8627 0.4267  2 Au 2.68-2.70, 2 Ga 2.78-2.98, 1 Hf 2.95
Hf 0.1373 0.0640 0.2281  2 Au 2.68-2.70, 2 Ga 2.78-2.98, 1 Hf 2.95
Hf 0.1373 0.5733 0.9092  2 Au 2.68-2.70, 2 Ga 2.78-2.98, 1 Hf 2.95
Hf 0.1641 0.2281 0.5908  2 Au 2.68-2.70, 2 Ga 2.78-2.98, 1 Hf 2.95
Hf 0.1641 0.4360 0.5733  2 Au 2.68-2.70, 2 Ga 2.78-2.98, 1 Hf 2.95
Hf 0.2281 0.1373 0.0640  2 Au 2.68-2.70, 2 Ga 2.78-2.98, 1 Hf 2.95
Hf 0.2281 0.5908 0.1641  2 Au 2.68-2.70, 2 Ga 2.78-2.98, 1 Hf 2.95
Hf 0.2719 0.3359 0.9092  2 Au 2.68-2.70, 2 Ga 2.78-2.98, 1 Hf 2.95
Hf 0.2719 0.4360 0.3627  2 Au 2.68-2.70, 2 Ga 2.78-2.98, 1 Hf 2.95
Hf 0.3359 0.9092 0.2719  2 Au 2.68-2.70, 2 Ga 2.78-2.98, 1 Hf 2.95
Hf 0.3359 0.9267 0.0640  2 Au 2.68-2.70, 2 Ga 2.78-2.98, 1 Hf 2.95
Hf 0.3627 0.2719 0.4360  2 Au 2.68-2.70, 2 Ga 2.78-2.98, 1 Hf 2.95
Hf 0.3627 0.5908 0.9267  2 Au 2.68-2.70, 2 Ga 2.78-2.98, 1 Hf 2.95
Hf 0.4092 0.0733 0.6373  2 Au 2.68-2.70, 2 Ga 2.78-2.98, 1 Hf 2.95
Hf 0.4092 0.8359 0.7719  2 Au 2.68-2.70, 2 Ga 2.78-2.98, 1 Hf 2.95
Hf 0.4267 0.0908 0.8627  2 Au 2.68-2.70, 2 Ga 2.78-2.98, 1 Hf 2.95
Hf 0.4267 0.8359 0.5640  2 Au 2.68-2.70, 2 Ga 2.78-2.98, 1 Hf 2.95
Hf 0.4360 0.3627 0.2719  2 Au 2.68-2.70, 2 Ga 2.78-2.98, 1 Hf 2.95
Hf 0.4360 0.5733 0.1641  2 Au 2.68-2.70, 2 Ga 2.78-2.98, 1 Hf 2.95
Hf 0.5640 0.4267 0.8359  2 Au 2.68-2.70, 2 Ga 2.78-2.98, 1 Hf 2.95
Hf 0.5640 0.6373 0.7281  2 Au 2.68-2.70, 2 Ga 2.78-2.98, 1 Hf 2.95
Hf 0.5733 0.1641 0.4360  2 Au 2.68-2.70, 2 Ga 2.78-2.98, 1 Hf 2.95
Hf 0.5733 0.9092 0.1373  2 Au 2.68-2.70, 2 Ga 2.78-2.98, 1 Hf 2.95
Hf 0.5908 0.1641 0.2281  2 Au 2.68-2.70, 2 Ga 2.78-2.98, 1 Hf 2.95
Hf 0.5908 0.9267 0.3627  2 Au 2.68-2.70, 2 Ga 2.78-2.98, 1 Hf 2.95
Hf 0.6373 0.4092 0.0733  2 Au 2.68-2.70, 2 Ga 2.78-2.98, 1 Hf 2.95
Hf 0.6373 0.7281 0.5640  2 Au 2.68-2.70, 2 Ga 2.78-2.98, 1 Hf 2.95
Hf 0.6641 0.0733 0.9360  2 Au 2.68-2.70, 2 Ga 2.78-2.98, 1 Hf 2.95
Hf 0.6641 0.0908 0.7281  2 Au 2.68-2.70, 2 Ga 2.78-2.98, 1 Hf 2.95
Hf 0.7281 0.5640 0.6373  2 Au 2.68-2.70, 2 Ga 2.78-2.98, 1 Hf 2.95
Hf 0.7281 0.6641 0.0908  2 Au 2.68-2.70, 2 Ga 2.78-2.98, 1 Hf 2.95
Hf 0.7719 0.4092 0.8359  2 Au 2.68-2.70, 2 Ga 2.78-2.98, 1 Hf 2.95
Hf 0.7719 0.8627 0.9360  2 Au 2.68-2.70, 2 Ga 2.78-2.98, 1 Hf 2.95
Hf 0.8359 0.5640 0.4267  2 Au 2.68-2.70, 2 Ga 2.78-2.98, 1 Hf 2.95
Hf 0.8359 0.7719 0.4092  2 Au 2.68-2.70, 2 Ga 2.78-2.98, 1 Hf 2.95
Hf 0.8627 0.4267 0.0908  2 Au 2.68-2.70, 2 Ga 2.78-2.98, 1 Hf 2.95
Hf 0.8627 0.9360 0.7719  2 Au 2.68-2.70, 2 Ga 2.78-2.98, 1 Hf 2.95
Hf 0.9092 0.1373 0.5733  2 Au 2.68-2.70, 2 Ga 2.78-2.98, 1 Hf 2.95
Hf 0.9092 0.2719 0.3359  2 Au 2.68-2.70, 2 Ga 2.78-2.98, 1 Hf 2.95
Hf 0.9267 0.0640 0.3359  2 Au 2.68-2.70, 2 Ga 2.78-2.98, 1 Hf 2.95
Hf 0.9267 0.3627 0.5908  2 Au 2.68-2.70, 2 Ga 2.78-2.98, 1 Hf 2.95
Hf 0.9360 0.6641 0.0733  2 Au 2.68-2.70, 2 Ga 2.78-2.98, 1 Hf 2.95
Hf 0.9360 0.7719 0.8627  2 Au 2.68-2.70, 2 Ga 2.78-2.98, 1 Hf 2.95
Ga 0.1250 0.2500 0.3750  8 Hf 2.78-2.98
Ga 0.1250 0.3750 0.7500  8 Hf 2.78-2.98
Ga 0.2500 0.3750 0.1250  8 Hf 2.78-2.98
Ga 0.2500 0.8750 0.6250  8 Hf 2.78-2.98
Ga 0.3750 0.1250 0.2500  8 Hf 2.78-2.98
Ga 0.3750 0.7500 0.1250  8 Hf 2.78-2.98
Ga 0.6250 0.2500 0.8750  8 Hf 2.78-2.98
Ga 0.6250 0.8750 0.7500  8 Hf 2.78-2.98
Ga 0.7500 0.1250 0.3750  8 Hf 2.78-2.98
Ga 0.7500 0.6250 0.8750  8 Hf 2.78-2.98
Ga 0.8750 0.6250 0.2500  8 Hf 2.78-2.98
Ga 0.8750 0.7500 0.6250  8 Hf 2.78-2.98
Au 0.0000 0.0000 0.0000  6 Hf 2.70
Au 0.0000 0.0000 0.5000  6 Hf 2.70
Au 0.0000 0.5000 0.0000  6 Hf 2.70
Au 0.0000 0.5000 0.5000  6 Hf 2.70
Au 0.1250 0.7500 0.8750  4 Hf 2.68
Au 0.1250 0.8750 0.2500  4 Hf 2.68
Au 0.2500 0.1250 0.8750  4 Hf 2.68
Au 0.2500 0.6250 0.3750  4 Hf 2.68
Au 0.3750 0.2500 0.6250  4 Hf 2.68
Au 0.3750 0.6250 0.7500  4 Hf 2.68
Au 0.5000 0.0000 0.0000  6 Hf 2.70
Au 0.5000 0.0000 0.5000  6 Hf 2.70
Au 0.5000 0.5000 0.0000  6 Hf 2.70
Au 0.5000 0.5000 0.5000  6 Hf 2.70
Au 0.6250 0.3750 0.2500  4 Hf 2.68
Au 0.6250 0.7500 0.3750  4 Hf 2.68
Au 0.7500 0.3750 0.6250  4 Hf 2.68
Au 0.7500 0.8750 0.1250  4 Hf 2.68
Au 0.8750 0.1250 0.7500  4 Hf 2.68
Au 0.8750 0.2500 0.1250  4 Hf 2.68

# 7
First-principles (PBE-GGA) data for a relaxed structure of HfGa2Au2, as listed in Alexandria.

a = 7.2616 Å, b = 7.2616 Å, c = 6.2446 Å
α = 102.66°, β = 102.66°, γ = 38.30°
Closest atoms and distances in Å follow each position.
Element x y z (fractional)
Hf 0.2485 0.7515 0.7500  6 Au 2.84-2.86, 2 Ga 2.85
Hf 0.7515 0.2485 0.2500  6 Au 2.84-2.86, 2 Ga 2.85
Ga 0.0568 0.5597 0.8543  3 Ga 2.69-2.99, 4 Au 2.72-2.75, 1 Hf 2.85
Ga 0.4403 0.9432 0.6457  3 Ga 2.69-2.99, 4 Au 2.72-2.75, 1 Hf 2.85
Ga 0.5597 0.0568 0.3543  3 Ga 2.69-2.99, 4 Au 2.72-2.75, 1 Hf 2.85
Ga 0.9432 0.4403 0.1457  3 Ga 2.69-2.99, 4 Au 2.72-2.75, 1 Hf 2.85
Au 0.1462 0.6433 0.2978  4 Ga 2.72-2.75, 3 Hf 2.84-2.86
Au 0.3567 0.8538 0.2022  4 Ga 2.72-2.75, 3 Hf 2.84-2.86
Au 0.6433 0.1462 0.7978  4 Ga 2.72-2.75, 3 Hf 2.84-2.86
Au 0.8538 0.3567 0.7022  4 Ga 2.72-2.75, 3 Hf 2.84-2.86

# 8
First-principles (PBE-GGA) data for a relaxed structure of HfGa2Au, as listed in Alexandria.

a = 5.9314 Å, b = 5.9314 Å, c = 5.9314 Å
α = 103.53°, β = 103.53°, γ = 122.14°
Closest atoms and distances in Å follow each position.
Element x y z (fractional)
Hf 0.0000 0.0000 0.0000  4 Ga 2.81, 2 Au 2.87
Hf 0.7500 0.2500 0.5000  4 Ga 2.81, 2 Au 2.87
Ga 0.1487 0.6250 0.0237  2 Au 2.58, 2 Hf 2.81
Ga 0.3750 0.3987 0.5237  2 Au 2.58, 2 Hf 2.81
Ga 0.6013 0.1250 0.9763  2 Au 2.58, 2 Hf 2.81
Ga 0.8750 0.8513 0.4763  2 Au 2.58, 2 Hf 2.81
Au 0.2500 0.7500 0.5000  4 Ga 2.58, 2 Hf 2.87
Au 0.5000 0.5000 0.0000  4 Ga 2.58, 2 Hf 2.87

# 9
First-principles (PBE-GGA) data for a relaxed structure of Hf2GaAu8, as listed in Alexandria.

a = 9.5241 Å, b = 9.5241 Å, c = 6.7372 Å
α = 109.77°, β = 109.77°, γ = 21.75°
Closest atoms and distances in Å follow each position.
Element x y z (fractional)
Hf 0.1997 0.1997 0.2746  9 Au 2.76-3.08
Hf 0.8003 0.8003 0.7254  9 Au 2.76-3.08
Ga 0.5000 0.5000 0.5000  6 Au 2.69-2.75
Au 0.0299 0.0299 0.2291  2 Ga 2.75, 5 Au 2.89-2.90
Au 0.1992 0.1992 0.8463  6 Au 2.86-2.93, 3 Hf 2.88-2.92
Au 0.3566 0.3566 0.5040  1 Ga 2.69, 3 Hf 2.76-2.81, 4 Au 2.86-2.89
Au 0.4032 0.4032 0.0353  6 Au 2.90-3.08, 2 Hf 2.92, 1 Ga 3.03
Au 0.5968 0.5968 0.9647  6 Au 2.90-3.08, 2 Hf 2.92, 1 Ga 3.03
Au 0.6434 0.6434 0.4960  1 Ga 2.69, 3 Hf 2.76-2.81, 4 Au 2.86-2.89
Au 0.8008 0.8008 0.1537  6 Au 2.86-2.93, 3 Hf 2.88-2.92
Au 0.9701 0.9701 0.7709  2 Ga 2.75, 5 Au 2.89-2.90

# 10
First-principles (PBE-GGA) data for a relaxed structure of HfGa2Au2, as listed in Alexandria.

a = 7.5207 Å, b = 7.5207 Å, c = 3.2909 Å
α = 90.00°, β = 90.00°, γ = 90.00°
Closest atoms and distances in Å follow each position.
Element x y z (fractional)
Hf 0.0000 0.0000 0.0000  4 Au 2.94, 8 Ga 3.23, 2 Hf 3.29
Hf 0.5000 0.5000 0.0000  4 Au 2.94, 8 Ga 3.23, 2 Hf 3.29
Ga 0.1733 0.3267 0.5000  6 Au 2.65-2.84
Ga 0.3267 0.8267 0.5000  6 Au 2.65-2.84
Ga 0.6733 0.1733 0.5000  6 Au 2.65-2.84
Ga 0.8267 0.6733 0.5000  6 Au 2.65-2.84
Au 0.1313 0.6313 0.0000  6 Ga 2.65-2.84, 1 Au 2.79, 2 Hf 2.94
Au 0.3687 0.1313 0.0000  6 Ga 2.65-2.84, 1 Au 2.79, 2 Hf 2.94
Au 0.6313 0.8687 0.0000  6 Ga 2.65-2.84, 1 Au 2.79, 2 Hf 2.94
Au 0.8687 0.3687 0.0000  6 Ga 2.65-2.84, 1 Au 2.79, 2 Hf 2.94

# 11
First-principles (PBE-GGA) data for a relaxed structure of Hf3GaAu, as listed in Alexandria.

a = 4.8970 Å, b = 4.8970 Å, c = 4.8970 Å
α = 90.00°, β = 90.00°, γ = 90.00°
Closest atoms and distances in Å follow each position.
Element x y z (fractional)
Hf 0.0000 0.0000 0.5000  2 Ga 2.45
Hf 0.0000 0.5000 0.0000  2 Ga 2.45
Hf 0.5000 0.0000 0.0000  2 Ga 2.45
Ga 0.0000 0.0000 0.0000  6 Hf 2.45
Au 0.5000 0.5000 0.5000  12 Hf 3.46

**Energy relative to the lowest polymorph listed for this composition**: 0.751 eV/atom

# 12
First-principles (PBE-GGA) data for a relaxed structure of Hf7Ga2Au2, as listed in Alexandria.

a = 6.0537 Å, b = 6.0537 Å, c = 7.0511 Å
α = 90.14°, β = 90.14°, γ = 70.09°
Closest atoms and distances in Å follow each position.
Element x y z (fractional)
Hf 0.0000 0.0000 0.0000  2 Ga 2.88
Hf 0.0006 0.4987 0.2815  2 Ga 2.67, 2 Au 2.95
Hf 0.4987 0.0006 0.2815  2 Ga 2.67, 2 Au 2.95
Hf 0.5001 0.5001 0.2591  2 Au 2.74, 2 Ga 2.76, 4 Hf 3.03
Hf 0.4999 0.4999 0.7409  2 Au 2.74, 2 Ga 2.76, 4 Hf 3.03
Hf 0.5013 0.9994 0.7185  2 Ga 2.67, 2 Au 2.95
Hf 0.9994 0.5013 0.7185  2 Ga 2.67, 2 Au 2.95
Ga 0.2909 0.2909 0.9995  7 Hf 2.67-2.88
Ga 0.7091 0.7091 0.0005  7 Hf 2.67-2.88
Au 0.1912 0.8088 0.5000  1 Au 2.66, 6 Hf 2.74-2.95
Au 0.8088 0.1912 0.5000  1 Au 2.66, 6 Hf 2.74-2.95

| no. | E_form (eV per atom) |
| --- | --- |
| 1 | -0.350 |
| 2 | -0.212 |
| 3 | -0.430 |
| 4 | -0.312 |
| 5 | -0.258 |
| 6 | 0.262 |
| 7 | -0.276 |
| 8 | -0.179 |
| 9 | -0.271 |
| 10 | -0.156 |
| 11 | 0.529 |
| 12 | 0.064 |